1.
Below is ZrSiGe after structural relaxation, with properties calculated at the GGA-PBE level.

space group = F-43m (216)
energy above the most stable polymorph in this dataset = 34.0 meV per atom
calculated volume = 65.4 Å³ per cell

Cell lengths 4.521, 4.521, 4.521 Å; angles 60.00, 60.00, 60.00 degrees
Element x y z (fractional)
Ge1 0.250 0.250 0.250
Si1 0.750 0.750 0.750
Zr1 0.000 0.000 0.000

2.
Below is La3Ge4Ir2Pd2 after structural relaxation, with properties calculated at the GGA-PBE level.

space group = Immm (71)
calculated volume = 232.2 Å³ per cell

Cell lengths 13.167, 13.167, 13.167 Å; angles 161.78, 161.00, 26.44 degrees
Element x y z (fractional)
Ge1 0.451 0.451 0.000
Ge2 0.549 0.549 0.000
Ge3 0.803 0.303 0.500
Ge4 0.197 0.697 0.500
Ir1 0.250 0.250 0.000
Ir2 0.750 0.750 0.000
La1 0.000 0.000 0.000
La2 0.648 0.148 0.500
La3 0.352 0.852 0.500
Pd1 0.901 0.401 0.500
Pd2 0.099 0.599 0.500

3.
Below is Dy2Tm3Lu2Ni2Te2 after structural relaxation, with properties calculated at the GGA-PBE level.

space group = Imm2 (44)
energy above the most stable polymorph in this dataset = 0.0 meV per atom
calculated volume = 281.8 Å³ per cell

Cell lengths 9.271, 9.271, 9.271 Å; angles 156.09, 67.07, 118.39 degrees
Element x y z (fractional)
Dy1 0.083 0.730 0.354
Dy2 0.376 0.730 0.646
Lu1 0.692 0.377 0.315
Lu2 0.062 0.377 0.685
Ni1 0.305 0.069 0.236
Ni2 0.832 0.069 0.764
Te1 0.339 0.339 0.000
Te2 0.734 0.234 0.500
Tm1 0.000 0.000 0.000
Tm2 0.717 0.582 0.135
Tm3 0.448 0.582 0.865

4.
Below is NaCuNiW after structural relaxation, with properties calculated at the GGA-PBE level.

space group = F-43m (216)
energy above the most stable polymorph in this dataset = 104.0 meV per atom
calculated volume = 54.6 Å³ per cell

Cell lengths 4.259, 4.259, 4.259 Å; angles 60.00, 60.00, 60.00 degrees
Element x y z (fractional)
Cu1 0.500 0.500 0.500
Na1 0.750 0.750 0.750
Ni1 0.250 0.250 0.250
W1 0.000 0.000 0.000

5.
Below is Sr4NbAlO8 after structural relaxation, with properties calculated at the GGA-PBE level.

space group = P2_1/c (14)
calculated volume = 815.6 Å³ per cell

Cell lengths 7.174, 5.816, 19.716 Å; angles 90.00, 97.57, 90.00 degrees
Element x y z (fractional)
Al1 0.268 0.216 0.057
Al2 0.732 0.716 0.443
Al3 0.268 0.284 0.557
Al4 0.732 0.784 0.943
Nb1 0.663 0.258 0.211
Nb2 0.337 0.758 0.289
Nb3 0.663 0.242 0.711
Nb4 0.337 0.742 0.789
O1 0.658 0.700 0.022
O2 0.248 0.913 0.056
O3 0.058 0.338 0.077
O4 0.450 0.293 0.125
O5 0.791 0.030 0.160
O6 0.800 0.512 0.178
O7 0.175 0.722 0.204
O8 0.501 0.990 0.244
O9 0.499 0.490 0.256
O10 0.825 0.222 0.296
O11 0.200 0.012 0.322
O12 0.209 0.530 0.340
O13 0.550 0.793 0.375
O14 0.942 0.838 0.423
O15 0.752 0.413 0.444
O16 0.342 0.200 0.478
O17 0.658 0.800 0.522
O18 0.248 0.587 0.556
O19 0.058 0.162 0.577
O20 0.450 0.207 0.625
O21 0.791 0.470 0.660
O22 0.800 0.988 0.678
O23 0.175 0.778 0.704
O24 0.501 0.510 0.744
O25 0.499 0.010 0.756
O26 0.825 0.278 0.796
O27 0.200 0.488 0.822
O28 0.209 0.970 0.840
O29 0.550 0.707 0.875
O30 0.942 0.662 0.923
O31 0.752 0.087 0.944
O32 0.342 0.300 0.978
Sr1 0.709 0.279 0.046
Sr2 0.974 0.750 0.095
Sr3 0.498 0.748 0.135
Sr4 0.139 0.281 0.209
Sr5 0.861 0.781 0.291
Sr6 0.502 0.248 0.365
Sr7 0.026 0.250 0.405
Sr8 0.291 0.779 0.454
Sr9 0.709 0.221 0.546
Sr10 0.974 0.750 0.595
Sr11 0.498 0.752 0.635
Sr12 0.139 0.219 0.709
Sr13 0.861 0.719 0.791
Sr14 0.502 0.252 0.865
Sr15 0.026 0.250 0.905
Sr16 0.291 0.721 0.954

6.
Below is NiC8 after structural relaxation, with properties calculated at the GGA-PBE level.

space group = P6/mmm (191)
energy above the most stable polymorph in this dataset = 8.3 meV per atom
calculated volume = 76.6 Å³ per cell

Cell lengths 4.985, 4.985, 3.559 Å; angles 90.00, 90.00, 120.00 degrees
Element x y z (fractional)
C1 0.336 0.168 0.000
C2 0.832 0.168 0.000
C3 0.667 0.333 0.000
C4 0.168 0.336 0.000
C5 0.832 0.664 0.000
C6 0.333 0.667 0.000
C7 0.168 0.832 0.000
C8 0.664 0.832 0.000
Ni1 0.000 0.000 0.500

7.
Below is RbScAuSe3 after structural relaxation, with properties calculated at the GGA-PBE level.

space group = Pnma (62)
calculated volume = 641.6 Å³ per cell

Cell lengths 15.196, 3.956, 10.674 Å; angles 90.00, 90.00, 90.00 degrees
Element x y z (fractional)
Au1 0.990 0.250 0.099
Au2 0.490 0.250 0.401
Au3 0.510 0.750 0.599
Au4 0.010 0.750 0.901
Rb1 0.767 0.750 0.045
Rb2 0.267 0.750 0.455
Rb3 0.733 0.250 0.545
Rb4 0.233 0.250 0.955
Sc1 0.479 0.750 0.155
Sc2 0.979 0.750 0.345
Sc3 0.021 0.250 0.655
Sc4 0.521 0.250 0.845
Se1 0.591 0.250 0.076
Se2 0.095 0.750 0.146
Se3 0.367 0.250 0.229
Se4 0.867 0.250 0.271
Se5 0.595 0.750 0.354
Se6 0.091 0.250 0.424
Se7 0.909 0.750 0.576
Se8 0.405 0.250 0.646
Se9 0.133 0.750 0.729
Se10 0.633 0.750 0.771
Se11 0.905 0.250 0.854
Se12 0.409 0.750 0.924

8.
Below is NaPm after structural relaxation, with properties calculated at the GGA-PBE level.

space group = P6_3/mmc (194)
energy above the most stable polymorph in this dataset = 553.0 meV per atom
calculated volume = 144.7 Å³ per cell

Cell lengths 4.919, 4.919, 6.907 Å; angles 90.00, 90.00, 120.00 degrees
Each line ends with the local moment (μB).
Element x y z (fractional)
Na1 0.333 0.667 0.250  0.00
Na2 0.667 0.333 0.750  0.00
Pm1 0.000 0.000 0.000  0.06
Pm2 0.000 0.000 0.500  0.06

Calculated calculated total energy, -6.05 -6.49 -5.14 -5.03 -7.20 -8.51 -4.52 -2.26 eV per atom (same order as the records).